(1)
Compound: Ce2ThIr
Source: Alexandria via LeMat-Bulk
Functional: PBE-GGA
Structure: optimized geometry

Lattice parameters (Å, degrees): 3.646 20.476 11.108 90.00 90.00 90.00
Space group Cmcm (No. 63)
Inequivalent atoms, fractional coordinates:
Ce  0.000  0.044  0.250
Ce  0.000  0.089  0.750
Ce  0.000  0.302  0.081
Th  0.000  0.309  0.750
Th  0.000  0.500  0.000
Ir  0.000  0.129  0.055

Energy relative to the elements ... -0.348 eV/atom
E above lowest polymorph ... 0.41 eV per formula unit
Magnetic moment ... 0.132 μB per atom

---

(2)
Compound: Ce6ThIr4
Source: Alexandria via LeMat-Bulk
Functional: PBE-GGA
Structure: optimized geometry

Lattice parameters (Å, degrees): 7.536 7.536 10.403 90.00 90.00 90.00
Space group I-42m (No. 121)
Inequivalent atoms, fractional coordinates:
Ce  0.000  0.500  0.000
Ce  0.146  0.146  0.195
Th  0.000  0.000  0.500
Ir  0.225  0.225  0.928

Energy relative to the elements ... -0.487 eV/atom
Magnetic moment ... 0.307 μB per atom

---

(3)
Compound: Ce3ThIr
Source: Alexandria via LeMat-Bulk
Functional: PBE-GGA
Structure: optimized geometry

Lattice parameters (Å, degrees): 6.236 5.366 7.895 90.00 97.01 90.00
Space group P2_1/m (No. 11)
Inequivalent atoms, fractional coordinates:
Ce  0.120  0.250  0.323
Ce  0.262  0.750  0.078
Ce  0.313  0.750  0.448
Th  0.246  0.250  0.774
Ir  0.473  0.750  0.797

Energy relative to the elements ... -0.264 eV/atom
Magnetic moment ... 0.001 μB per atom

---

(4)
Compound: CeThIr2
Source: Alexandria via LeMat-Bulk
Functional: PBE-GGA
Structure: optimized geometry

Lattice parameters (Å, degrees): 7.075 7.075 7.075 90.00 90.00 90.00
Space group Fm-3m (No. 225)
Inequivalent atoms, fractional coordinates:
Ce  0.000  0.000  0.000
Th  0.000  0.000  0.500
Ir  0.250  0.250  0.250

Energy relative to the elements ... -0.694 eV/atom
E above lowest polymorph ... 0.85 eV per formula unit
Magnetic moment ... 0.185 μB per atom

---

(5)
Compound: CeTh2Ir
Source: Alexandria via LeMat-Bulk
Functional: PBE-GGA
Structure: optimized geometry

Lattice parameters (Å, degrees): 7.159 9.932 6.360 90.00 90.00 90.00
Space group Pnma (No. 62)
Inequivalent atoms, fractional coordinates:
Ce  0.037  0.250  0.157
Th  0.181  0.060  0.649
Ir  0.124  0.750  0.417

Energy relative to the elements ... -0.463 eV/atom
E above lowest polymorph ... 0.05 eV per formula unit
Magnetic moment ... 0.100 μB per atom

---

(6)
Compound: CeThIr
Source: Alexandria via LeMat-Bulk
Functional: PBE-GGA
Structure: optimized geometry

Lattice parameters (Å, degrees): 3.709 3.709 10.351 90.00 90.00 90.00
Space group I4mm (No. 107)
Inequivalent atoms, fractional coordinates:
Ce  0.000  0.000  0.000
Th  0.000  0.000  0.697
Ir  0.000  0.000  0.346

Energy relative to the elements ... -0.499 eV/atom
E above lowest polymorph ... 0.43 eV per formula unit
Magnetic moment ... 0.000 μB per atom

---

(7)
Compound: CeTh2Ir2
Source: Alexandria via LeMat-Bulk
Functional: PBE-GGA
Structure: optimized geometry

Lattice parameters (Å, degrees): 7.852 7.852 3.979 90.00 90.00 90.00
Space group P4/mbm (No. 127)
Inequivalent atoms, fractional coordinates:
Ce  0.000  0.000  0.000
Th  0.166  0.334  0.500
Ir  0.135  0.635  0.000

Energy relative to the elements ... -0.721 eV/atom
Magnetic moment ... 0.167 μB per atom

---

(8)
Compound: Ce3ThIr2
Source: Alexandria via LeMat-Bulk
Functional: PBE-GGA
Structure: optimized geometry

Lattice parameters (Å, degrees): 16.383 4.390 8.973 90.00 117.49 90.00
Space group C2/m (No. 12)
Inequivalent atoms, fractional coordinates:
Ce  0.063  0.000  0.415
Ce  0.127  0.500  0.706
Ce  0.213  0.500  0.385
Th  0.114  0.000  0.032
Ir  0.018  0.500  0.181
Ir  0.242  0.000  0.883

Energy relative to the elements ... -0.548 eV/atom
Magnetic moment ... 0.000 μB per atom

---

- What is the formula in the fourth record?
  CeThIr2

---

- Number 7 is which compound?
  CeTh2Ir2

---

- Which value of magnetic moment does entry 8 give?
  0.000 μB per atom